DFT (PBE) results for a relaxed structure of Tb7Pm2Nd.

a b c (Å): 6.5690 29.0500 3.5106
angles (deg): 90.00 90.00 90.00
Last column: nearest neighbours and their distance in Å.
Space group Cmmm (No. 65)
One atom of each set of equivalent atoms:
1 Tb 0.0000 0.0000 0.0000  6 Tb 3.32-3.51
2 Tb 0.0000 0.3135 0.5000  6 Tb 3.49-3.51, 6 Pm 3.56-3.77
3 Tb 0.2477 0.4008 0.0000  7 Tb 3.25-3.51, 1 Pm 3.53
4 Pm 0.0000 0.2067 0.0000  2 Pm 3.51, 8 Tb 3.53-3.77
5 Nd 0.0000 0.5000 0.5000  2 Nd 3.51, 12 Tb 3.72-3.75

Results
Offset from the most stable computed form in meV per atom: 0
Energy relative to the elements in eV/f.u.: 1.6
Uncorrected energy in eV/atom: -4.50